Entry 1:
Density functional theory data (SCAN) for a PBEsol-optimized structure of YHf2Re2.

## Properties
calculated formation energy	-61.5	meV/atom
DOS at the Fermi energy	0.747	states/eV per atom

Unit cell a=4.2950 b=4.2950 c=11.4472 alpha=90.00 beta=90.00 gamma=90.00
With the nearest neighbours (Å) after each atom.
Space group I4/mmm (No. 139)
Symmetry-distinct sites (fractional):
Y  0.0000  0.0000  0.0000 x2  8 Re 3.27, 8 Hf 3.58
Hf  0.0000  0.5000  0.2500 x4  4 Re 2.70
Re  0.0000  0.0000  0.3931 x4  1 Re 2.45, 4 Hf 2.70

Entry 2:
Density functional theory data (SCAN) for a PBEsol-optimized structure of Hf2RuRh.

## Properties
calculated formation energy	-952.7	meV/atom
DOS at the Fermi energy	0.696	states/eV per atom

Unit cell a=6.4230 b=6.4230 c=6.4230 alpha=90.00 beta=90.00 gamma=90.00
With the nearest neighbours (Å) after each atom.
Space group Fm-3m (No. 225)
Symmetry-distinct sites (fractional):
Hf  0.2500  0.2500  0.2500 x8  4 Rh 2.78, 4 Ru 2.78
Ru  0.0000  0.0000  0.0000 x4  8 Hf 2.78
Rh  0.0000  0.0000  0.5000 x4  8 Hf 2.78

Entry 3:
Density functional theory data (SCAN) for a PBEsol-optimized structure of HfSb2RuRh.

## Properties
DOS at the Fermi energy	0.908	states/eV per atom
formation energy from raw total energies	0.77	eV/atom

Unit cell a=4.9623 b=4.9623 c=4.5997 alpha=90.00 beta=90.00 gamma=90.00
With the nearest neighbours (Å) after each atom.
Space group P4/mmm (No. 123)
Symmetry-distinct sites (fractional):
Hf  0.0000  0.0000  0.0000 x1  8 Sb 3.38, 4 Rh 3.51
Sb  0.0000  0.5000  0.5000 x2  2 Ru 2.48
Ru  0.5000  0.5000  0.5000 x1  2 Rh 2.30, 4 Sb 2.48
Rh  0.5000  0.5000  0.0000 x1  2 Ru 2.30

Entry 4:
Density functional theory data (SCAN) for a PBEsol-optimized structure of Hf2SbRh2.

## Properties
DOS at the Fermi energy	0.430	states/eV per atom
formation energy from raw total energies	-0.89	eV/atom

Unit cell a=7.4558 b=7.4558 c=3.2352 alpha=90.00 beta=90.00 gamma=90.00
With the nearest neighbours (Å) after each atom.
Space group P4/mbm (No. 127)
Symmetry-distinct sites (fractional):
Hf  0.1629  0.3371  0.0000 x4  6 Rh 2.70-2.74
Sb  0.0000  0.0000  0.5000 x2  4 Rh 2.92, 8 Hf 3.23, 2 Sb 3.24
Rh  0.1316  0.6316  0.5000 x4  6 Hf 2.70-2.74, 1 Rh 2.78, 2 Sb 2.92

Entry 5:
Density functional theory data (SCAN) for a PBEsol-optimized structure of HfZn2SbRh.

## Properties
DOS at the Fermi energy	0.724	states/eV per atom
formation energy from raw total energies	1.21	eV/atom

Unit cell a=4.9066 b=4.9066 c=5.2841 alpha=90.00 beta=90.00 gamma=90.00
With the nearest neighbours (Å) after each atom.
Space group P4/mmm (No. 123)
Symmetry-distinct sites (fractional):
Hf  0.0000  0.0000  0.0000 x1  4 Zn 2.45, 2 Sb 2.64
Zn  0.0000  0.5000  0.0000 x2  2 Hf 2.45
Sb  0.0000  0.0000  0.5000 x1  2 Hf 2.64
Rh  0.5000  0.5000  0.5000 x1  4 Sb 3.47, 8 Zn 3.61

Entry 6:
Density functional theory data (SCAN) for a PBEsol-optimized structure of Hf3RhSe.

## Properties
DOS at the Fermi energy	0.424	states/eV per atom
formation energy from raw total energies	0.06	eV/atom

Unit cell a=4.9109 b=4.9109 c=4.9109 alpha=90.00 beta=90.00 gamma=90.00
With the nearest neighbours (Å) after each atom.
Space group Pm-3m (No. 221)
Symmetry-distinct sites (fractional):
Hf  0.0000  0.0000  0.5000 x3  2 Rh 2.46
Rh  0.0000  0.0000  0.0000 x1  6 Hf 2.46
Se  0.5000  0.5000  0.5000 x1  12 Hf 3.47

Entry 7:
Density functional theory data (SCAN) for a PBEsol-optimized structure of HfZnRhSe2.

## Properties
DOS at the Fermi energy	0.616	states/eV per atom
formation energy from raw total energies	0.46	eV/atom

Unit cell a=4.6606 b=4.6606 c=4.4892 alpha=90.00 beta=90.00 gamma=90.00
With the nearest neighbours (Å) after each atom.
Space group P4/mmm (No. 123)
Symmetry-distinct sites (fractional):
Hf  0.0000  0.0000  0.0000 x1  8 Se 3.24, 4 Rh 3.30
Zn  0.5000  0.5000  0.5000 x1  2 Rh 2.24, 4 Se 2.33
Rh  0.5000  0.5000  0.0000 x1  2 Zn 2.24
Se  0.0000  0.5000  0.5000 x2  2 Zn 2.33

Entry 8:
Density functional theory data (SCAN) for a PBEsol-optimized structure of HfSi3Rh.

## Properties
DOS at the Fermi energy	0.796	states/eV per atom
formation energy from raw total energies	0.55	eV/atom

Unit cell a=4.5295 b=4.5295 c=4.5295 alpha=90.00 beta=90.00 gamma=90.00
With the nearest neighbours (Å) after each atom.
Space group Pm-3m (No. 221)
Symmetry-distinct sites (fractional):
Hf  0.0000  0.0000  0.0000 x1  12 Si 3.20
Si  0.0000  0.5000  0.5000 x3  2 Rh 2.26
Rh  0.5000  0.5000  0.5000 x1  6 Si 2.26

Entry 9:
Density functional theory data (SCAN) for a PBEsol-optimized structure of Hf2Si2Rh.

## Properties
DOS at the Fermi energy	0.444	states/eV per atom
formation energy from raw total energies	-1.02	eV/atom

Unit cell a=6.2178 b=6.2178 c=4.1064 alpha=90.00 beta=90.00 gamma=90.00
With the nearest neighbours (Å) after each atom.
Space group P4/mbm (No. 127)
Symmetry-distinct sites (fractional):
Hf  0.1687  0.3313  0.0000 x4  6 Si 2.68-2.80, 1 Hf 2.97
Si  0.1362  0.6362  0.5000 x4  1 Si 2.40, 2 Rh 2.42, 2 Hf 2.68
Rh  0.0000  0.0000  0.5000 x2  4 Si 2.42

Entry 10:
Density functional theory data (SCAN) for a PBEsol-optimized structure of Hf2ZrSiRh.

## Properties
DOS at the Fermi energy	0.681	states/eV per atom
formation energy from raw total energies	1.39	eV/atom

Unit cell a=4.9008 b=4.9008 c=4.7624 alpha=90.00 beta=90.00 gamma=90.00
With the nearest neighbours (Å) after each atom.
Space group P4/mmm (No. 123)
Symmetry-distinct sites (fractional):
Hf  0.0000  0.5000  0.0000 x2  2 Zr 2.45
Zr  0.0000  0.0000  0.0000 x1  2 Si 2.38, 4 Hf 2.45
Si  0.0000  0.0000  0.5000 x1  2 Zr 2.38
Rh  0.5000  0.5000  0.5000 x1  8 Hf 3.42, 4 Si 3.47

Entry 11:
Density functional theory data (SCAN) for a PBEsol-optimized structure of Hf3SnRh.

## Properties
calculated formation energy	-78.8	meV/atom
DOS at the Fermi energy	0.857	states/eV per atom

Unit cell a=4.9014 b=4.9014 c=4.9014 alpha=90.00 beta=90.00 gamma=90.00
With the nearest neighbours (Å) after each atom.
Space group Pm-3m (No. 221)
Symmetry-distinct sites (fractional):
Hf  0.0000  0.0000  0.5000 x3  2 Rh 2.45
Sn  0.5000  0.5000  0.5000 x1  12 Hf 3.47
Rh  0.0000  0.0000  0.0000 x1  6 Hf 2.45

Entry 12:
Density functional theory data (SCAN) for a PBEsol-optimized structure of HfTi2SnRh.

## Properties
calculated formation energy	1221.0	meV/atom
DOS at the Fermi energy	0.781	states/eV per atom

Unit cell a=4.5748 b=4.5748 c=5.2041 alpha=90.00 beta=90.00 gamma=90.00
With the nearest neighbours (Å) after each atom.
Space group P4/mmm (No. 123)
Symmetry-distinct sites (fractional):
Hf  0.0000  0.0000  0.0000 x1  4 Ti 2.29
Ti  0.0000  0.5000  0.0000 x2  2 Hf 2.29
Sn  0.0000  0.0000  0.5000 x1  2 Hf 2.60
Rh  0.5000  0.5000  0.5000 x1  4 Sn 3.23, 8 Ti 3.46